(1)
Y3ZrP4 | PBE | relaxed

Structure (extended XYZ):
```
16
Lattice="7.890 0.000 0.000 0.000 11.119 0.000 0.000 0.000 3.932" Properties=species:S:1:pos:R:3 pbc="T T T"
Y 0.000 0.000 0.000
Y 1.973 2.780 1.966
Y 1.973 8.339 1.966
Y 3.945 5.559 0.000
Y 5.918 2.780 1.966
Y 5.918 8.339 1.966
Zr 0.000 5.559 0.000
Zr 3.945 0.000 0.000
P 0.000 2.847 0.000
P 0.000 8.271 0.000
P 1.886 5.559 1.966
P 2.059 0.000 1.966
P 3.945 2.712 0.000
P 3.945 8.407 0.000
P 5.831 0.000 1.966
P 6.004 5.559 1.966
```

The electronic total energy comes out at -7.756 eV/atom. Its space group is Cmmm.

***

(2)
BaTcI2O | PBE | relaxed

Structure (extended XYZ):
```
5
Lattice="5.901 0.000 0.000 0.000 5.901 0.000 0.000 0.000 3.876" Properties=species:S:1:pos:R:3 pbc="T T T"
Ba 0.000 0.000 0.000
Tc 2.950 2.950 1.938
I 0.000 2.950 1.938
I 2.950 0.000 1.938
O 2.950 2.950 0.000
```

As for the formation energy without anion corrections: -0.845 eV per atom. As for the energy relative to the lowest polymorph listed for this composition: 0 kJ/mol of formula units. Its space group is P4/mmm.

***

(3)
Sr2BeMo | PBE | relaxed

Structure (extended XYZ):
```
8
Lattice="7.236 0.000 0.000 0.000 4.172 0.000 -2.394 0.000 8.213" Properties=species:S:1:pos:R:3 pbc="T T T"
Sr 0.000 0.000 0.000
Sr 0.001 0.000 4.354
Sr 3.618 2.086 0.000
Sr 3.619 2.086 4.354
Be 2.417 0.000 2.178
Be 6.035 2.086 2.178
Mo 1.208 2.086 2.178
Mo 4.826 0.000 2.178
```

The electronic total energy comes out at -3.894 eV/atom. Its space group is Cm.

***

(4)
U2AlNi4Ge3 | PBE | relaxed

Structure (extended XYZ):
```
10
Lattice="4.003 0.000 0.000 0.000 4.003 0.000 0.000 0.000 9.937" Properties=species:S:1:pos:R:3 pbc="T T T"
U 0.000 2.001 2.424
U 2.001 0.000 7.513
Al 0.000 0.000 4.968
Ni 0.000 0.000 0.000
Ni 0.000 2.001 6.316
Ni 2.001 0.000 3.621
Ni 2.001 2.001 0.000
Ge 0.000 2.001 8.638
Ge 2.001 0.000 1.299
Ge 2.001 2.001 4.968
```

The electronic total energy comes out at -6.750 eV/atom. Its space group is P-4m2.

***

(5)
Zr2TlV | PBE | relaxed

Structure (extended XYZ):
```
4
Lattice="3.451 0.000 0.000 0.000 3.451 0.000 0.000 0.000 6.975" Properties=species:S:1:pos:R:3 pbc="T T T"
Zr 0.000 0.000 1.542
Zr 0.000 0.000 5.433
Tl 1.725 1.725 3.488
V 1.725 1.725 0.000
```

As for the energy relative to the lowest polymorph listed for this composition: 0 kJ/mol of formula units. Its space group is P4/mmm.

***

(6)
Ac3Al2InAu6 | PBE | relaxed

Structure (extended XYZ):
```
12
Lattice="6.507 0.000 0.000 -3.254 5.636 0.000 0.000 0.000 8.665" Properties=species:S:1:pos:R:3 pbc="T T T"
Ac 0.000 0.000 0.000
Ac 0.000 3.757 5.567
Ac 3.254 1.879 3.097
Al 0.000 3.757 0.386
Al 3.254 1.879 8.279
In 0.000 0.000 4.332
Au 0.000 2.069 2.419
Au -1.462 4.601 2.419
Au 1.792 1.035 6.246
Au 1.462 4.601 2.419
Au 4.716 1.035 6.246
Au 3.254 3.566 6.246
```

The electronic total energy comes out at -4.030 eV/atom. Its space group is P-3m1.

***

Number 1: spin magnetization 0.0 μB/cell. Number 2: spin magnetization 0.4 μB/cell. Number 3: spin magnetization 3.6 μB/cell. Number 4: spin magnetization 3.7 μB/cell. Number 5: spin magnetization 0.6 μB/cell. Number 6: spin magnetization 0.0 μB/cell.